Entry 1:
Density functional theory data (GGA-PBEsol) for an optimized crystal structure of HoCO4.

Values from the calculation:
DFT total energy (eV/atom): -7.966
Volume (Å³/f.u.): 73.12
Symmetry: No. 19
Relative energy among the computed polymorphs (meV per atom): 59.0
E_form (uncorrected) (kJ/mol of atoms): -196

abc: 4.7236 7.0927 8.7293
angles: 90.00 90.00 90.00
Atoms (fractional coordinates):
Ho 0.0348 0.1400 0.1678
Ho 0.4652 0.8600 0.6678
Ho 0.5348 0.3600 0.8322
Ho 0.9652 0.6400 0.3322
C 0.0157 0.0367 0.8383
C 0.4843 0.9633 0.3383
C 0.5157 0.4633 0.1617
C 0.9843 0.5367 0.6617
O 0.0283 0.8320 0.1421
O 0.0455 0.4276 0.7726
O 0.1685 0.6186 0.5751
O 0.2165 0.9349 0.3697
O 0.2835 0.0651 0.8697
O 0.3315 0.3814 0.0751
O 0.4545 0.5724 0.2726
O 0.4717 0.1680 0.6421
O 0.5283 0.6680 0.8579
O 0.5455 0.0724 0.2274
O 0.6685 0.8814 0.4249
O 0.7165 0.5651 0.6303
O 0.7835 0.4349 0.1303
O 0.8315 0.1186 0.9249
O 0.9545 0.9276 0.7274
O 0.9717 0.3320 0.3579



Entry 2:
Density functional theory data (GGA-PBEsol) for an optimized crystal structure of Al2VNi9.

Values from the calculation:
DFT total energy (eV/atom): -6.520
Volume (Å³/f.u.): 129.48
DFT formation energy (kcal/mol of atoms): -9.6
Symmetry: No. 123

abc: 3.5129 3.5129 10.4928
angles: 90.00 90.00 90.00
Atoms (fractional coordinates):
Al 0.0000 0.0000 0.1649
Al 0.0000 0.0000 0.8351
V 0.0000 0.0000 0.5000
Ni 0.0000 0.5000 0.0000
Ni 0.0000 0.5000 0.3372
Ni 0.0000 0.5000 0.6628
Ni 0.5000 0.0000 0.0000
Ni 0.5000 0.0000 0.3372
Ni 0.5000 0.0000 0.6628
Ni 0.5000 0.5000 0.1677
Ni 0.5000 0.5000 0.5000
Ni 0.5000 0.5000 0.8323



Entry 3:
Density functional theory data (GGA-PBEsol) for an optimized crystal structure of Ba3FePb.

Values from the calculation:
DFT total energy (eV/atom): -3.664
Volume (Å³/f.u.): 183.44
DFT formation energy (kcal/mol of atoms): 5.0
Symmetry: No. 221

abc: 5.6820 5.6820 5.6820
angles: 90.00 90.00 90.00
Atoms (fractional coordinates):
Ba 0.0000 0.0000 0.5000
Ba 0.0000 0.5000 0.0000
Ba 0.5000 0.0000 0.0000
Fe 0.0000 0.0000 0.0000
Pb 0.5000 0.5000 0.5000



Entry 4:
Density functional theory data (GGA-PBEsol) for an optimized crystal structure of TaIrSe2N.

Values from the calculation:
DFT total energy (eV/atom): -7.032
Volume (Å³/f.u.): 90.19
Symmetry: No. 123
E_form (uncorrected) (kJ/mol of atoms): 66

abc: 5.0095 5.0095 3.5940
angles: 90.00 90.00 90.00
Atoms (fractional coordinates):
Ta 0.0000 0.0000 0.0000
Ir 0.5000 0.5000 0.5000
Se 0.0000 0.5000 0.5000
Se 0.5000 0.0000 0.5000
N 0.5000 0.5000 0.0000



Entry 5:
Density functional theory data (GGA-PBEsol) for an optimized crystal structure of CaCdOs2.

Values from the calculation:
DFT total energy (eV/atom): -6.394
Volume (Å³/f.u.): 69.70
DFT formation energy (kcal/mol of atoms): 12.6
Symmetry: No. 160

abc: 2.8664 2.8664 29.3856
angles: 90.00 90.00 120.00
Atoms (fractional coordinates):
Ca 0.0000 0.0000 0.0000
Ca 0.3333 0.6667 0.6667
Ca 0.6667 0.3333 0.3333
Cd 0.0000 0.0000 0.2361
Cd 0.3333 0.6667 0.9027
Cd 0.6667 0.3333 0.5694
Os 0.0000 0.0000 0.4867
Os 0.0000 0.0000 0.7516
Os 0.3333 0.6667 0.1534
Os 0.3333 0.6667 0.4183
Os 0.6667 0.3333 0.0849
Os 0.6667 0.3333 0.8200



Entry 6:
Density functional theory data (GGA-PBEsol) for an optimized crystal structure of BaTl3N.

Values from the calculation:
DFT total energy (eV/atom): -2.030
Volume (Å³/f.u.): 271.74
Symmetry: No. 221
E_form (uncorrected) (kJ/mol of atoms): 162

abc: 6.4772 6.4772 6.4772
angles: 90.00 90.00 90.00
Atoms (fractional coordinates):
Ba 0.0000 0.0000 0.0000
Tl 0.0000 0.0000 0.5000
Tl 0.0000 0.5000 0.0000
Tl 0.5000 0.0000 0.0000
N 0.5000 0.5000 0.5000



What is the DFT total energy in the fifth record?
-6.394 eV/atom



What did the third record say?
Density functional theory data (GGA-PBEsol) for an optimized crystal structure of Ba3FePb.

Values from the calculation:
DFT total energy (eV/atom): -3.664
Volume (Å³/f.u.): 183.44
DFT formation energy (kcal/mol of atoms): 5.0
Symmetry: No. 221

abc: 5.6820 5.6820 5.6820
angles: 90.00 90.00 90.00
Atoms (fractional coordinates):
Ba 0.0000 0.0000 0.5000
Ba 0.0000 0.5000 0.0000
Ba 0.5000 0.0000 0.0000
Fe 0.0000 0.0000 0.0000
Pb 0.5000 0.5000 0.5000